DFT (PBE) results for crystalline CaNdGaIr at its relaxed geometry.

a b c (Å): 7.131 7.131 7.131
angles (deg): 90.00 90.00 90.00
Sites, in units of the cell vectors:
Ca 0.000 0.000 0.000
Ca 0.000 0.500 0.500
Ca 0.500 0.000 0.500
Ca 0.500 0.500 0.000
Nd 0.000 0.000 0.500
Nd 0.000 0.500 0.000
Nd 0.500 0.000 0.000
Nd 0.500 0.500 0.500
Ga 0.250 0.250 0.750
Ga 0.250 0.750 0.250
Ga 0.750 0.250 0.250
Ga 0.750 0.750 0.750
Ir 0.250 0.250 0.250
Ir 0.250 0.750 0.750
Ir 0.750 0.250 0.750
Ir 0.750 0.750 0.250

Results
The value obtained for the energy is -5.105 eV per atom. For the calculated volume, the calculation gives 363 Å³ per cell. The crystal system is cubic. The energy relative to the lowest polymorph listed for this composition is 133.1 meV per atom. The space group is F-43m.